Record 1
DFT (GGA-PBE) results for a relaxed structure of LiPd4Au.

Computed properties:
Polymorph energy (0 for the lowest one)   0.095 eV per atom
E_form   -0.113 eV/atom

Lattice parameters (Å, degrees): 8.9378 8.1105 5.3485 80.38 63.47 36.16
Closest atoms and distances in Å follow each position.
Sites, in units of the cell vectors:
Li (0.1250, 0.1250, 0.1250)  8 Pd 2.67-2.77, 2 Au 2.69
Li (0.8750, 0.8750, 0.8750)  8 Pd 2.67-2.77, 2 Au 2.69
Pd (0.0280, 0.5384, 0.2125)  2 Li 2.67-2.77, 7 Pd 2.69-2.93, 2 Au 2.74-2.77
Pd (0.2125, 0.7212, 0.0280)  2 Li 2.67-2.77, 7 Pd 2.69-2.93, 2 Au 2.74-2.77
Pd (0.2788, 0.7875, 0.4616)  2 Li 2.67-2.77, 7 Pd 2.69-2.93, 2 Au 2.74-2.77
Pd (0.4616, 0.9720, 0.2788)  2 Li 2.67-2.77, 7 Pd 2.69-2.93, 2 Au 2.74-2.77
Pd (0.5384, 0.0280, 0.7212)  2 Li 2.67-2.77, 7 Pd 2.69-2.93, 2 Au 2.74-2.77
Pd (0.7212, 0.2125, 0.5384)  2 Li 2.67-2.77, 7 Pd 2.69-2.93, 2 Au 2.74-2.77
Pd (0.7875, 0.2788, 0.9720)  2 Li 2.67-2.77, 7 Pd 2.69-2.93, 2 Au 2.74-2.77
Pd (0.9720, 0.4616, 0.7875)  2 Li 2.67-2.77, 7 Pd 2.69-2.93, 2 Au 2.74-2.77
Au (0.3750, 0.3750, 0.3750)  2 Li 2.69, 8 Pd 2.74-2.77
Au (0.6250, 0.6250, 0.6250)  2 Li 2.69, 8 Pd 2.74-2.77

Record 2
DFT (GGA-PBE) results for a relaxed structure of Al3Bi2Au9.

Computed properties:
E_form   -0.186 eV/atom

Lattice parameters (Å, degrees): 7.9014 7.9014 11.0508 109.94 109.94 59.59
Closest atoms and distances in Å follow each position.
Sites, in units of the cell vectors:
Al (0.0000, 0.5000, 0.5000)  8 Au 2.69-2.73
Al (0.1575, 0.6707, 0.0000)  8 Au 2.68-2.78
Al (0.3293, 0.8425, 0.5000)  8 Au 2.68-2.78
Al (0.5000, 0.0000, 0.0000)  8 Au 2.69-2.73
Al (0.6707, 0.1575, 0.5000)  8 Au 2.68-2.78
Al (0.8425, 0.3293, 0.0000)  8 Au 2.68-2.78
Bi (0.0930, 0.2427, 0.7492)  11 Au 3.11-3.30
Bi (0.2427, 0.0930, 0.2492)  11 Au 3.11-3.30
Bi (0.7573, 0.9070, 0.7508)  11 Au 3.11-3.30
Bi (0.9070, 0.7573, 0.2508)  11 Au 3.11-3.30
Au (0.0264, 0.8499, 0.5641)  3 Al 2.68-2.71, 5 Au 2.92-3.00
Au (0.1501, 0.9736, 0.9359)  3 Al 2.68-2.71, 5 Au 2.92-3.00
Au (0.1916, 0.3556, 0.0641)  3 Al 2.68-2.70, 3 Au 2.93-2.97
Au (0.1982, 0.5813, 0.7512)  2 Al 2.68-2.72, 4 Au 2.91-2.99
Au (0.3124, 0.4783, 0.4309)  3 Al 2.73-2.78, 5 Au 2.91-2.97
Au (0.3551, 0.6449, 0.2500)  2 Al 2.69, 2 Au 2.92
Au (0.3556, 0.1916, 0.5641)  3 Al 2.68-2.70, 3 Au 2.93-2.97
Au (0.4187, 0.8018, 0.7488)  2 Al 2.68-2.72, 4 Au 2.91-2.99
Au (0.4783, 0.3124, 0.9309)  3 Al 2.73-2.78, 5 Au 2.91-2.97
Au (0.5217, 0.6876, 0.0691)  3 Al 2.73-2.78, 5 Au 2.91-2.97
Au (0.5813, 0.1982, 0.2512)  2 Al 2.68-2.72, 4 Au 2.91-2.99
Au (0.6444, 0.8084, 0.4359)  3 Al 2.68-2.70, 3 Au 2.93-2.97
Au (0.6449, 0.3551, 0.7500)  2 Al 2.69, 2 Au 2.92
Au (0.6876, 0.5217, 0.5691)  3 Al 2.73-2.78, 5 Au 2.91-2.97
Au (0.8018, 0.4187, 0.2488)  2 Al 2.68-2.72, 4 Au 2.91-2.99
Au (0.8084, 0.6444, 0.9359)  3 Al 2.68-2.70, 3 Au 2.93-2.97
Au (0.8499, 0.0264, 0.0641)  3 Al 2.68-2.71, 5 Au 2.92-3.00
Au (0.9736, 0.1501, 0.4359)  3 Al 2.68-2.71, 5 Au 2.92-3.00

Record 3
DFT (GGA-PBE) results for a relaxed structure of HPd2Pb2.

Computed properties:
Polymorph energy (0 for the lowest one)   0.020 eV per atom

Lattice parameters (Å, degrees): 5.5653 5.5653 11.0807 109.28 109.28 34.70
Closest atoms and distances in Å follow each position.
Sites, in units of the cell vectors:
H (0.2306, 0.2306, 0.1184)  2 Pd 1.75
H (0.7694, 0.7694, 0.8816)  2 Pd 1.75
Pd (0.3163, 0.3163, 0.9257)  2 H 1.75
Pd (0.4511, 0.4511, 0.6047)  1 Pd 2.85, 7 Pb 2.86-2.97
Pd (0.5489, 0.5489, 0.3953)  1 Pd 2.85, 7 Pb 2.86-2.97
Pd (0.6837, 0.6837, 0.0743)  2 H 1.75
Pb (0.0100, 0.0100, 0.8375)  1 H 2.76, 5 Pd 2.95-3.06
Pb (0.1889, 0.1889, 0.6231)  6 Pd 2.86-3.15, 2 H 3.16
Pb (0.8111, 0.8111, 0.3769)  6 Pd 2.86-3.15, 2 H 3.16
Pb (0.9900, 0.9900, 0.1625)  1 H 2.76, 5 Pd 2.95-3.06

Record 4
DFT (GGA-PBE) results for a relaxed structure of TbPrSiPd.

Computed properties:
Polymorph energy (0 for the lowest one)   0.000 eV per atom
Raw formation energy   -772 meV per atom

Lattice parameters (Å, degrees): 4.2623 5.8814 5.8814 40.88 90.00 90.00
Closest atoms and distances in Å follow each position.
Sites, in units of the cell vectors:
Tb (0.0000, 0.0000, 0.0000)  4 Pd 3.03, 3 Si 3.07-3.22
Pr (0.5000, 0.7218, 0.7218)  4 Si 3.06, 3 Pd 3.11-3.16
Si (0.0000, 0.2925, 0.2925)  2 Pd 2.67
Pd (0.5000, 0.4392, 0.4392)  2 Si 2.67

Record 5
DFT (GGA-PBE) results for a relaxed structure of CsKMg2Pt.

Computed properties:
E_form   -0.125 eV/atom

Lattice parameters (Å, degrees): 5.3085 5.3085 6.2212 90.00 90.00 90.00
Closest atoms and distances in Å follow each position.
Sites, in units of the cell vectors:
Cs (0.0000, 0.0000, 0.0000)  4 K 3.75, 8 Mg 4.09
K (0.5000, 0.5000, 0.0000)  2 Pt 3.11
Mg (0.0000, 0.5000, 0.5000)  2 Pt 2.65
Mg (0.5000, 0.0000, 0.5000)  2 Pt 2.65
Pt (0.5000, 0.5000, 0.5000)  4 Mg 2.65

Record 6
DFT (GGA-PBE) results for a relaxed structure of Th3MnTe2.

Computed properties:
Raw formation energy   -678 meV per atom

Lattice parameters (Å, degrees): 7.3681 7.3681 7.9887 99.35 99.35 119.26
Closest atoms and distances in Å follow each position.
Sites, in units of the cell vectors:
Th (0.0615, 0.4402, 0.7949)  2 Mn 2.73-2.87
Th (0.1919, 0.1919, 0.2004)  2 Mn 2.78
Th (0.4402, 0.0615, 0.7949)  2 Mn 2.73-2.87
Th (0.5598, 0.9385, 0.2051)  2 Mn 2.73-2.87
Th (0.8081, 0.8081, 0.7996)  2 Mn 2.78
Th (0.9385, 0.5598, 0.2051)  2 Mn 2.73-2.87
Mn (0.1683, 0.8317, 0.0000)  6 Th 2.73-2.87
Mn (0.8317, 0.1683, 0.0000)  6 Th 2.73-2.87
Te (0.0000, 0.0000, 0.5000)  6 Th 3.16-3.47
Te (0.3474, 0.6526, 0.5000)  6 Th 3.20-3.47
Te (0.5000, 0.5000, 0.0000)  6 Th 3.16-3.19
Te (0.6526, 0.3474, 0.5000)  6 Th 3.20-3.47

no.,size of the total moment (Bohr magnetons per cell),V (Å³/f.u.)
1,0.00,95.2
2,0.00,273.6
3,0.00,91.7
4,0.00,96.5
5,0.00,175.3
6,0.00,179.1